--- P ---
Density functional theory data (GGA+U) for AlFe2O4 after structural relaxation.

Lattice parameters (Å, degrees): 10.467 2.912 5.211 90.00 117.33 90.00
Atoms (fractional coordinates):
Al (0.000, 0.000, 0.000)
Al (0.500, 0.500, 0.000)
Fe (0.204, 0.500, 0.697)
Fe (0.296, 0.000, 0.303)
Fe (0.704, 0.000, 0.697)
Fe (0.796, 0.500, 0.303)
O (0.119, 0.000, 0.399)
O (0.125, 0.500, 0.981)
O (0.375, 0.000, 0.019)
O (0.381, 0.500, 0.601)
O (0.619, 0.500, 0.399)
O (0.625, 0.000, 0.981)
O (0.875, 0.500, 0.019)
O (0.881, 0.000, 0.601)

***

--- Q ---
Density functional theory data (GGA+U) for AlFe2O4 after structural relaxation.

Lattice parameters (Å, degrees): 6.462 6.462 6.462 131.43 131.43 71.14
Atoms (fractional coordinates):
Al (0.375, 0.125, 0.250)
Al (0.625, 0.875, 0.750)
Fe (0.000, 0.000, 0.500)
Fe (0.000, 0.500, 0.000)
Fe (0.000, 0.500, 0.500)
Fe (0.500, 0.500, 0.000)
O (0.052, 0.906, 0.771)
O (0.219, 0.448, 0.355)
O (0.364, 0.719, 0.271)
O (0.406, 0.136, 0.855)
O (0.594, 0.864, 0.145)
O (0.636, 0.281, 0.729)
O (0.781, 0.552, 0.645)
O (0.948, 0.094, 0.229)

***

--- R ---
Density functional theory data (GGA+U) for AlFe2O4 after structural relaxation.

Lattice parameters (Å, degrees): 5.935 5.935 5.935 120.89 119.37 89.78
Atoms (fractional coordinates):
Al (0.382, 0.132, 0.250)
Al (0.618, 0.868, 0.750)
Fe (0.000, 0.000, 0.500)
Fe (0.000, 0.500, 0.000)
Fe (0.000, 0.500, 0.500)
Fe (0.500, 0.500, 0.000)
O (0.249, 0.743, 0.506)
O (0.257, 0.261, 0.504)
O (0.257, 0.752, 0.996)
O (0.262, 0.257, 0.006)
O (0.738, 0.743, 0.994)
O (0.743, 0.248, 0.004)
O (0.743, 0.739, 0.496)
O (0.751, 0.257, 0.494)

***

Q: What are the energies relative to the best structure? A: P 0.126; Q 0.398; R 0.000, in eV/atom.

***

--- P ---
Density functional theory data (GGA+U) for Al2FeO4 after structural relaxation.

Lattice parameters (Å, degrees): 5.822 5.822 5.822 121.27 119.45 89.39
Atoms (fractional coordinates):
Al (0.000, 0.000, 0.000)
Al (0.386, 0.636, 0.750)
Al (0.500, 0.000, 0.500)
Al (0.614, 0.364, 0.250)
Fe (0.000, 0.000, 0.500)
Fe (0.000, 0.500, 0.000)
O (0.239, 0.231, 0.008)
O (0.258, 0.243, 0.485)
O (0.258, 0.772, 0.015)
O (0.276, 0.769, 0.508)
O (0.724, 0.231, 0.492)
O (0.742, 0.228, 0.985)
O (0.742, 0.757, 0.515)
O (0.761, 0.769, 0.992)

***

--- Q ---
Density functional theory data (GGA+U) for Al2FeO4 after structural relaxation.

Lattice parameters (Å, degrees): 5.857 5.854 5.785 60.42 60.37 59.21
Atoms (fractional coordinates):
Al (0.000, 0.000, 0.000)
Al (0.000, 0.000, 0.500)
Al (0.000, 0.500, 0.000)
Al (0.500, 0.000, 0.000)
Fe (0.375, 0.375, 0.375)
Fe (0.625, 0.625, 0.625)
O (0.203, 0.761, 0.768)
O (0.232, 0.232, 0.239)
O (0.232, 0.232, 0.797)
O (0.239, 0.797, 0.232)
O (0.761, 0.203, 0.768)
O (0.768, 0.768, 0.203)
O (0.768, 0.768, 0.761)
O (0.797, 0.239, 0.232)

***

--- R ---
Density functional theory data (GGA+U) for Al2FeO4 after structural relaxation.

Lattice parameters (Å, degrees): 5.803 5.808 14.240 90.06 90.02 119.96
Atoms (fractional coordinates):
Al (0.000, 0.000, 0.000)
Al (0.000, 0.493, 0.000)
Al (0.167, 0.827, 0.789)
Al (0.168, 0.828, 0.165)
Al (0.170, 0.327, 0.666)
Al (0.334, 0.160, 0.331)
Al (0.334, 0.661, 0.331)
Al (0.499, 0.492, 0.497)
Al (0.506, 0.999, 0.000)
Al (0.664, 0.327, 0.666)
Al (0.664, 0.822, 0.666)
Al (0.833, 0.660, 0.331)
Fe (0.166, 0.826, 0.540)
Fe (0.503, 0.496, 0.120)
Fe (0.503, 0.499, 0.876)
Fe (0.832, 0.158, 0.459)
Fe (0.833, 0.161, 0.835)
Fe (0.836, 0.162, 0.209)
O (0.020, 0.536, 0.253)
O (0.020, 0.972, 0.254)
O (0.139, 0.316, 0.928)
O (0.165, 0.825, 0.400)
O (0.168, 0.830, 0.917)
O (0.206, 0.348, 0.409)
O (0.311, 0.118, 0.077)
O (0.313, 0.686, 0.076)
O (0.354, 0.201, 0.586)
O (0.355, 0.639, 0.586)
O (0.459, 0.973, 0.255)
O (0.499, 0.491, 0.734)
O (0.500, 0.493, 0.262)
O (0.504, 0.995, 0.741)
O (0.646, 0.785, 0.410)
O (0.647, 0.348, 0.410)
O (0.682, 0.857, 0.930)
O (0.683, 0.316, 0.929)
O (0.790, 0.639, 0.586)
O (0.832, 0.158, 0.604)
O (0.836, 0.165, 0.070)
O (0.881, 0.688, 0.076)
O (0.997, 0.994, 0.741)
O (0.998, 0.489, 0.741)

***

Q: What are the energies relative to the best structure? A: P 0.066; Q 0.000; R 0.201, in eV/atom.

***

--- P ---
Density functional theory data (GGA+U) for AlFe2O after structural relaxation.

Lattice parameters (Å, degrees): 6.001 6.001 7.296 90.00 90.00 90.00
Atoms (fractional coordinates):
Al (0.000, 0.000, 0.000)
Al (0.000, 0.500, 0.250)
Al (0.500, 0.000, 0.750)
Al (0.500, 0.500, 0.500)
Fe (0.155, 0.750, 0.625)
Fe (0.250, 0.155, 0.375)
Fe (0.250, 0.345, 0.875)
Fe (0.345, 0.750, 0.125)
Fe (0.655, 0.250, 0.125)
Fe (0.750, 0.655, 0.875)
Fe (0.750, 0.845, 0.375)
Fe (0.845, 0.250, 0.625)
O (0.000, 0.000, 0.500)
O (0.000, 0.500, 0.750)
O (0.500, 0.000, 0.250)
O (0.500, 0.500, 0.000)

***

--- Q ---
Density functional theory data (GGA+U) for AlFe2O after structural relaxation.

Lattice parameters (Å, degrees): 5.973 5.973 5.973 90.00 90.00 90.00
Atoms (fractional coordinates):
Al (0.000, 0.000, 0.000)
Al (0.000, 0.500, 0.500)
Al (0.500, 0.000, 0.500)
Al (0.500, 0.500, 0.000)
Fe (0.250, 0.250, 0.250)
Fe (0.250, 0.250, 0.750)
Fe (0.250, 0.750, 0.250)
Fe (0.250, 0.750, 0.750)
Fe (0.750, 0.250, 0.250)
Fe (0.750, 0.250, 0.750)
Fe (0.750, 0.750, 0.250)
Fe (0.750, 0.750, 0.750)
O (0.000, 0.000, 0.500)
O (0.000, 0.500, 0.000)
O (0.500, 0.000, 0.000)
O (0.500, 0.500, 0.500)

***

Q: What are the energies relative to the best structure? A: P 0.000; Q 0.717, in eV/atom.

***

--- P ---
Density functional theory data (GGA+U) for AlFe3O after structural relaxation.

Lattice parameters (Å, degrees): 4.603 4.603 4.603 90.00 90.00 90.00
Atoms (fractional coordinates):
Al (0.000, 0.000, 0.000)
Fe (0.000, 0.000, 0.500)
Fe (0.000, 0.500, 0.000)
Fe (0.500, 0.000, 0.000)
O (0.500, 0.500, 0.500)

***

--- Q ---
Density functional theory data (GGA+U) for AlFe3O after structural relaxation.

Lattice parameters (Å, degrees): 4.096 4.096 4.096 90.00 90.00 90.00
Atoms (fractional coordinates):
Al (0.000, 0.000, 0.000)
Fe (0.000, 0.500, 0.500)
Fe (0.500, 0.000, 0.500)
Fe (0.500, 0.500, 0.000)
O (0.500, 0.500, 0.500)

***

Q: What are the energies relative to the best structure? A: P 1.183; Q 0.000, in eV/atom.